LiTlNi | PBE | optimized geometry

a = 3.3242 Å, b = 3.3242 Å, c = 8.6499 Å
α = 90.00°, β = 90.00°, γ = 90.00°
Space group I4mm (No. 107)
One atom of each set of equivalent atoms:
Li 0.0000 0.0000 0.0000
Tl 0.0000 0.0000 0.6821
Ni 0.0000 0.0000 0.3564

Summary:
- VASP energy: -3.3082 eV/atom
- Formation enthalpy at 0 K: 0.046 eV per atom